Entry from Alexandria via LeMat-Bulk: a relaxed KIn2Cu crystal (PBE-GGA).

Results
* M_tot: 0.0 μB/f.u.
* formation energy from the elements: 73 meV per atom
* mass density: 4.785 Mg/m³

Lattice parameters (Å, degrees): 4.254 3.361 8.066 90.05 90.00 90.00
Atoms (fractional coordinates):
K 0.000 0.629 0.499
In 0.000 0.122 0.908
Cu 0.500 0.622 0.901
In 0.500 0.127 0.191

---

Entry from Alexandria via LeMat-Bulk: a relaxed Mg2TlSn2 crystal (PBE-GGA).

Results
* M_tot: 0.0 μB/f.u.
* formation energy from the elements: -57 meV per atom
* mass density: 5.653 Mg/m³
* distance to the lowest polymorph of the same formula: 21 meV/atom

Lattice parameters (Å, degrees): 4.853 4.853 7.014 69.76 69.76 90.00
Atoms (fractional coordinates):
Sn 0.386 0.386 0.229
Sn 0.614 0.614 0.771
Mg 0.750 0.250 0.500
Tl 0.000 0.000 0.000
Mg 0.250 0.750 0.500

---

Entry from Alexandria via LeMat-Bulk: a relaxed Y8Pt2Rh3 crystal (PBE-GGA).

Results
* M_tot: 0.0 μB/f.u.
* formation energy from the elements: -791 meV per atom
* mass density: 7.197 Mg/m³

Lattice parameters (Å, degrees): 4.849 9.766 8.433 125.45 90.00 90.00
Atoms (fractional coordinates):
Pt 0.500 0.748 0.497
Y 0.000 0.377 0.754
Y 0.500 0.373 0.246
Rh 0.500 0.000 0.000
Y 0.000 0.623 0.246
Y 0.500 0.126 0.753
Rh 0.000 0.249 0.000
Rh 0.000 0.751 0.000
Y 0.000 0.125 0.249
Y 0.000 0.875 0.751
Pt 0.500 0.252 0.503
Y 0.500 0.874 0.247
Y 0.500 0.627 0.754

---

Entry from Alexandria via LeMat-Bulk: a relaxed BaLiMo2 crystal (PBE-GGA).

Results
* M_tot: 0.0 μB/f.u.
* formation energy from the elements: 1181 meV per atom
* mass density: 7.090 Mg/m³
* distance to the lowest polymorph of the same formula: 609 meV/atom

Lattice parameters (Å, degrees): 2.893 2.893 9.409 90.00 90.00 89.98
Atoms (fractional coordinates):
Ba 0.500 0.500 0.250
Mo 0.000 0.000 0.562
Li 0.500 0.500 0.750
Mo 0.000 0.000 0.938

---

Entry from Alexandria via LeMat-Bulk: a relaxed RbW3Se crystal (PBE-GGA).

Results
* M_tot: 0.0 μB/f.u.
* mass density: 10.955 Mg/m³
* formation energy without anion corrections: 94.23 kcal/mol of atoms
* distance to the lowest polymorph of the same formula: 1943 meV/atom

Lattice parameters (Å, degrees): 4.770 4.770 4.770 90.00 90.00 90.00
Atoms (fractional coordinates):
W 0.000 0.000 0.500
Rb 0.000 0.000 0.000
W 0.500 0.000 0.000
Se 0.500 0.500 0.500
W 0.000 0.500 0.000

---

Entry from Alexandria via LeMat-Bulk: a relaxed Tb4Pm3Ho2 crystal (PBE-GGA).

Results
* M_tot: 0.0 μB/f.u.
* formation energy from the elements: 15 meV per atom
* mass density: 7.957 Mg/m³

Lattice parameters (Å, degrees): 6.196 6.205 12.903 118.71 103.95 119.90
Atoms (fractional coordinates):
Ho 0.779 0.557 0.334
Pm 0.000 0.000 0.000
Tb 0.335 0.668 0.000
Tb 0.665 0.332 0.000
Tb 0.889 0.779 0.667
Ho 0.221 0.443 0.666
Tb 0.111 0.221 0.333
Pm 0.446 0.890 0.334
Pm 0.554 0.110 0.666

---

Entry from Alexandria via LeMat-Bulk: a relaxed Pm2SmY2 crystal (PBE-GGA).

Results
* M_tot: 0.0 μB/f.u.
* formation energy from the elements: 1 meV per atom
* mass density: 6.153 Mg/m³
* distance to the lowest polymorph of the same formula: 0 meV/atom

Lattice parameters (Å, degrees): 3.631 3.627 16.456 63.92 83.67 59.96
Atoms (fractional coordinates):
Pm 0.764 0.574 0.897
Sm 0.500 0.500 0.500
Y 0.298 0.707 0.698
Pm 0.236 0.426 0.103
Y 0.702 0.293 0.302

---

Entry from Alexandria via LeMat-Bulk: a relaxed TlIn2NiAg crystal (PBE-GGA).

Results
* M_tot: 0.0 μB/f.u.
* formation energy from the elements: 99 meV per atom
* mass density: 7.970 Mg/m³

Lattice parameters (Å, degrees): 4.922 4.922 5.164 90.00 90.00 90.00
Atoms (fractional coordinates):
In 0.000 0.500 0.000
In 0.500 0.000 0.000
Ag 0.000 0.000 0.500
Ni 0.000 0.000 0.000
Tl 0.500 0.500 0.500

---

Entry from Alexandria via LeMat-Bulk: a relaxed Pm7NdZn4 crystal (PBE-GGA).

Results
* M_tot: 0.3 μB/f.u.
* formation energy from the elements: -15 meV per atom
* mass density: 6.983 Mg/m³

Lattice parameters (Å, degrees): 5.689 8.985 7.656 73.08 68.19 71.54
Site moments in Bohr magnetons follow the coordinates.
Atoms (fractional coordinates):
Pm 0.279 0.669 0.772  0.00
Pm 0.794 0.879 0.532  0.00
Pm 0.721 0.331 0.228  0.00
Pm 0.500 0.000 0.000  0.14
Pm 0.931 0.402 0.736  0.00
Zn 0.541 0.265 0.653  0.00
Nd 0.000 0.000 0.000  0.14
Pm 0.206 0.121 0.468  0.00
Zn 0.459 0.735 0.347  0.00
Zn 0.679 0.661 0.981  0.00
Zn 0.321 0.339 0.019  0.00
Pm 0.069 0.598 0.264  0.00

---

Entry from Alexandria via LeMat-Bulk: a relaxed La2TbI crystal (PBE-GGA).

Results
* M_tot: 0.0 μB/f.u.
* mass density: 6.693 Mg/m³
* formation energy without anion corrections: -4.59 kcal/mol of atoms
* distance to the lowest polymorph of the same formula: 227 meV/atom

Lattice parameters (Å, degrees): 3.692 3.692 12.034 81.17 81.17 60.00
Atoms (fractional coordinates):
I 0.500 0.500 0.500
La 0.907 0.907 0.280
Tb 0.000 0.000 0.000
La 0.093 0.093 0.720

---

Entry from Alexandria via LeMat-Bulk: a relaxed Tb12Co6Os crystal (PBE-GGA).

Results
* M_tot: 0.0 μB/f.u.
* formation energy from the elements: -125 meV per atom
* mass density: 9.439 Mg/m³

Lattice parameters (Å, degrees): 8.243 8.243 8.243 109.47 109.47 109.47
Atoms (fractional coordinates):
Tb 0.811 0.295 0.105
Co 0.500 0.884 0.384
Tb 0.295 0.105 0.811
Co 0.500 0.116 0.616
Tb 0.516 0.811 0.705
Co 0.384 0.500 0.884
Os 0.000 0.000 0.000
Tb 0.105 0.811 0.295
Tb 0.189 0.705 0.895
Co 0.616 0.500 0.116
Tb 0.811 0.705 0.516
Tb 0.189 0.295 0.484
Co 0.884 0.384 0.500
Tb 0.295 0.484 0.189
Tb 0.705 0.516 0.811
Co 0.116 0.616 0.500
Tb 0.895 0.189 0.705
Tb 0.705 0.895 0.189
Tb 0.484 0.189 0.295

---

Entry from Alexandria via LeMat-Bulk: a relaxed Tb5AgS8 crystal (PBE-GGA).

Results
* M_tot: 0.0 μB/f.u.
* mass density: 6.574 Mg/m³
* formation energy without anion corrections: -42.27 kcal/mol of atoms

Lattice parameters (Å, degrees): 7.245 7.245 7.245 109.62 109.62 109.17
Atoms (fractional coordinates):
S 0.607 0.496 0.740
S 0.271 0.881 0.252
S 0.756 0.868 0.260
S 0.504 0.244 0.111
S 0.628 0.018 0.748
S 0.132 0.393 0.889
Tb 0.233 0.116 0.613
Tb 0.502 0.620 0.387
Tb 0.380 0.767 0.882
Tb 0.884 0.498 0.118
S 0.982 0.729 0.610
Ag 0.000 0.000 0.000
S 0.119 0.372 0.390
Tb 0.750 0.250 0.500

---

Q: Which of these has the highest mass density?
A: RbW3Se

---

Q: Look up the mass density of the third one.
A: 7.197 Mg/m³

---

Q: Among the records above, which one has the lowest mass density?
A: KIn2Cu